1.
Below is a geometry-optimized Ca2Y3Pt2 structure, with properties calculated at the PBE level.

```
data_Ca2Y3Pt2
_chemical_formula_sum 'Ca2 Y3 Pt2'
_cell_length_a 6.591
_cell_length_b 6.591
_cell_length_c 9.155
_cell_angle_alpha 116.73
_cell_angle_beta 116.73
_cell_angle_gamma 34.42
_space_group_name_H-M_alt 'P 1'
_space_group_IT_number 1
loop_
_space_group_symop_operation_xyz
'x,y,z'
loop_
_atom_site_label
_atom_site_type_symbol
_atom_site_fract_x
_atom_site_fract_y
_atom_site_fract_z
Ca1 Ca 0.165 0.165 0.305
Ca2 Ca 0.835 0.835 0.695
Y1 Y 0.380 0.380 0.063
Y2 Y 0.500 0.500 0.500
Y3 Y 0.620 0.620 0.937
Pt1 Pt 0.164 0.164 0.743
Pt2 Pt 0.836 0.836 0.257
```

Values from the calculation:
- Symmetry: C2/m, No. 12
- Crystal system: monoclinic
- DFT total energy: -5.83 eV/atom
- DFT formation energy: -758 meV/atom

2.
Below is a geometry-optimized Ca2YPt2 structure, with properties calculated at the PBE level.

```
data_Ca2YPt2
_chemical_formula_sum 'Ca4 Y2 Pt4'
_cell_length_a 7.474
_cell_length_b 7.474
_cell_length_c 4.409
_cell_angle_alpha 90.00
_cell_angle_beta 90.00
_cell_angle_gamma 90.00
_space_group_name_H-M_alt 'P 1'
_space_group_IT_number 1
loop_
_space_group_symop_operation_xyz
'x,y,z'
loop_
_atom_site_label
_atom_site_type_symbol
_atom_site_fract_x
_atom_site_fract_y
_atom_site_fract_z
Ca1 Ca 0.165 0.335 0.000
Ca2 Ca 0.335 0.835 0.000
Ca3 Ca 0.665 0.165 0.000
Ca4 Ca 0.835 0.665 0.000
Y1 Y 0.000 0.000 0.500
Y2 Y 0.500 0.500 0.500
Pt1 Pt 0.132 0.632 0.500
Pt2 Pt 0.368 0.132 0.500
Pt3 Pt 0.632 0.868 0.500
Pt4 Pt 0.868 0.368 0.500
```

Values from the calculation:
- Symmetry: P4/mbm, No. 127
- Crystal system: tetragonal
- Excess energy over the best structure of this formula in the dataset: 0 meV/atom
- DFT total energy: -5.40 eV/atom
- DFT formation energy: -886 meV/atom

3.
Below is a geometry-optimized CaYPt2 structure, with properties calculated at the PBE level.

```
data_CaYPt2
_chemical_formula_sum 'Ca1 Y1 Pt2'
_cell_length_a 4.932
_cell_length_b 4.932
_cell_length_c 4.932
_cell_angle_alpha 60.00
_cell_angle_beta 60.00
_cell_angle_gamma 60.00
_space_group_name_H-M_alt 'P 1'
_space_group_IT_number 1
loop_
_space_group_symop_operation_xyz
'x,y,z'
loop_
_atom_site_label
_atom_site_type_symbol
_atom_site_fract_x
_atom_site_fract_y
_atom_site_fract_z
Ca1 Ca 0.000 0.000 0.000
Y1 Y 0.500 0.500 0.500
Pt1 Pt 0.250 0.250 0.250
Pt2 Pt 0.750 0.750 0.750
```

Values from the calculation:
- Symmetry: Fm-3m, No. 225
- Crystal system: cubic
- DFT total energy: -6.20 eV/atom
- DFT formation energy: -1067 meV/atom

4.
Below is a geometry-optimized CaYPt4 structure, with properties calculated at the PBE level.

```
data_CaYPt4
_chemical_formula_sum 'Ca1 Y1 Pt4'
_cell_length_a 5.445
_cell_length_b 5.445
_cell_length_c 5.445
_cell_angle_alpha 60.00
_cell_angle_beta 60.00
_cell_angle_gamma 60.00
_space_group_name_H-M_alt 'P 1'
_space_group_IT_number 1
loop_
_space_group_symop_operation_xyz
'x,y,z'
loop_
_atom_site_label
_atom_site_type_symbol
_atom_site_fract_x
_atom_site_fract_y
_atom_site_fract_z
Ca1 Ca 0.000 0.000 0.000
Y1 Y 0.750 0.750 0.750
Pt1 Pt 0.375 0.375 0.375
Pt2 Pt 0.375 0.375 0.876
Pt3 Pt 0.375 0.876 0.375
Pt4 Pt 0.876 0.375 0.375
```

Values from the calculation:
- Symmetry: F-43m, No. 216
- Crystal system: cubic
- DFT total energy: -6.46 eV/atom
- DFT formation energy: -1024 meV/atom

5.
Below is a geometry-optimized Ca2YPt structure, with properties calculated at the PBE level.

```
data_Ca2YPt
_chemical_formula_sum 'Ca2 Y1 Pt1'
_cell_length_a 3.606
_cell_length_b 3.606
_cell_length_c 9.341
_cell_angle_alpha 90.00
_cell_angle_beta 90.00
_cell_angle_gamma 90.00
_space_group_name_H-M_alt 'P 1'
_space_group_IT_number 1
loop_
_space_group_symop_operation_xyz
'x,y,z'
loop_
_atom_site_label
_atom_site_type_symbol
_atom_site_fract_x
_atom_site_fract_y
_atom_site_fract_z
Ca1 Ca 0.000 0.000 0.000
Ca2 Ca 0.500 0.500 0.335
Y1 Y 0.500 0.500 0.686
Pt1 Pt 0.000 0.000 0.533
```

Values from the calculation:
- Symmetry: P4mm, No. 99
- Crystal system: tetragonal
- Excess energy over the best structure of this formula in the dataset: 23 meV/atom
- DFT total energy: -4.70 eV/atom
- DFT formation energy: -571 meV/atom

6.
Below is a geometry-optimized CaY2Pt structure, with properties calculated at the PBE level.

```
data_CaY2Pt
_chemical_formula_sum 'Ca1 Y2 Pt1'
_cell_length_a 5.042
_cell_length_b 5.042
_cell_length_c 4.003
_cell_angle_alpha 90.00
_cell_angle_beta 90.00
_cell_angle_gamma 90.00
_space_group_name_H-M_alt 'P 1'
_space_group_IT_number 1
loop_
_space_group_symop_operation_xyz
'x,y,z'
loop_
_atom_site_label
_atom_site_type_symbol
_atom_site_fract_x
_atom_site_fract_y
_atom_site_fract_z
Ca1 Ca 0.000 0.000 0.000
Y1 Y 0.000 0.500 0.500
Y2 Y 0.500 0.000 0.500
Pt1 Pt 0.500 0.500 0.000
```

Values from the calculation:
- Symmetry: P4/mmm, No. 123
- Crystal system: tetragonal
- Excess energy over the best structure of this formula in the dataset: 271 meV/atom
- DFT total energy: -5.60 eV/atom
- DFT formation energy: -357 meV/atom

7.
Below is a geometry-optimized CaYPt2 structure, with properties calculated at the PBE level.

```
data_CaYPt2
_chemical_formula_sum 'Ca1 Y1 Pt2'
_cell_length_a 7.156
_cell_length_b 7.156
_cell_length_c 7.156
_cell_angle_alpha 36.44
_cell_angle_beta 36.44
_cell_angle_gamma 36.44
_space_group_name_H-M_alt 'P 1'
_space_group_IT_number 1
loop_
_space_group_symop_operation_xyz
'x,y,z'
loop_
_atom_site_label
_atom_site_type_symbol
_atom_site_fract_x
_atom_site_fract_y
_atom_site_fract_z
Ca1 Ca 0.000 0.000 0.000
Y1 Y 0.170 0.170 0.170
Pt1 Pt 0.426 0.426 0.426
Pt2 Pt 0.762 0.762 0.762
```

Values from the calculation:
- Symmetry: R3m, No. 160
- Crystal system: trigonal
- DFT total energy: -5.82 eV/atom
- DFT formation energy: -688 meV/atom

8.
Below is a geometry-optimized Ca3Y3Pt4 structure, with properties calculated at the PBE level.

```
data_Ca3Y3Pt4
_chemical_formula_sum 'Ca3 Y3 Pt4'
_cell_length_a 3.945
_cell_length_b 7.854
_cell_length_c 7.854
_cell_angle_alpha 88.80
_cell_angle_beta 90.00
_cell_angle_gamma 90.00
_space_group_name_H-M_alt 'P 1'
_space_group_IT_number 1
loop_
_space_group_symop_operation_xyz
'x,y,z'
loop_
_atom_site_label
_atom_site_type_symbol
_atom_site_fract_x
_atom_site_fract_y
_atom_site_fract_z
Ca1 Ca 0.000 0.000 0.000
Ca2 Ca 0.500 0.338 0.845
Ca3 Ca 0.500 0.845 0.338
Y1 Y 0.000 0.186 0.501
Y2 Y 0.000 0.501 0.186
Y3 Y 0.000 0.687 0.687
Pt1 Pt 0.500 0.217 0.217
Pt2 Pt 0.500 0.484 0.484
Pt3 Pt 0.500 0.695 0.975
Pt4 Pt 0.500 0.975 0.695
```

Values from the calculation:
- Symmetry: Amm2, No. 38
- Crystal system: orthorhombic
- DFT total energy: -5.93 eV/atom
- DFT formation energy: -970 meV/atom

9.
Below is a geometry-optimized CaY2Pt structure, with properties calculated at the PBE level.

```
data_CaY2Pt
_chemical_formula_sum 'Ca1 Y2 Pt1'
_cell_length_a 6.121
_cell_length_b 6.121
_cell_length_c 3.435
_cell_angle_alpha 102.14
_cell_angle_beta 102.14
_cell_angle_gamma 117.57
_space_group_name_H-M_alt 'P 1'
_space_group_IT_number 1
loop_
_space_group_symop_operation_xyz
'x,y,z'
loop_
_atom_site_label
_atom_site_type_symbol
_atom_site_fract_x
_atom_site_fract_y
_atom_site_fract_z
Ca1 Ca 0.000 0.000 0.000
Y1 Y 0.000 0.500 0.500
Y2 Y 0.500 0.000 0.500
Pt1 Pt 0.500 0.500 0.000
```

Values from the calculation:
- Symmetry: C2/m, No. 12
- Crystal system: monoclinic
- Excess energy over the best structure of this formula in the dataset: 497 meV/atom
- DFT total energy: -5.37 eV/atom
- DFT formation energy: -131 meV/atom

10.
Below is a geometry-optimized Ca2YPt structure, with properties calculated at the PBE level.

```
data_Ca2YPt
_chemical_formula_sum 'Ca2 Y1 Pt1'
_cell_length_a 7.925
_cell_length_b 7.925
_cell_length_c 7.925
_cell_angle_alpha 154.18
_cell_angle_beta 144.98
_cell_angle_gamma 44.03
_space_group_name_H-M_alt 'P 1'
_space_group_IT_number 1
loop_
_space_group_symop_operation_xyz
'x,y,z'
loop_
_atom_site_label
_atom_site_type_symbol
_atom_site_fract_x
_atom_site_fract_y
_atom_site_fract_z
Ca1 Ca 0.168 0.168 0.000
Ca2 Ca 0.832 0.832 0.000
Y1 Y 0.500 0.000 0.500
Pt1 Pt 0.000 0.500 0.500
```

Values from the calculation:
- Symmetry: Immm, No. 71
- Crystal system: orthorhombic
- Excess energy over the best structure of this formula in the dataset: 107 meV/atom
- DFT total energy: -4.61 eV/atom
- DFT formation energy: -487 meV/atom

11.
Below is a geometry-optimized Ca2YPt2 structure, with properties calculated at the PBE level.

```
data_Ca2YPt2
_chemical_formula_sum 'Ca2 Y1 Pt2'
_cell_length_a 7.225
_cell_length_b 7.225
_cell_length_c 7.225
_cell_angle_alpha 145.02
_cell_angle_beta 145.02
_cell_angle_gamma 50.31
_space_group_name_H-M_alt 'P 1'
_space_group_IT_number 1
loop_
_space_group_symop_operation_xyz
'x,y,z'
loop_
_atom_site_label
_atom_site_type_symbol
_atom_site_fract_x
_atom_site_fract_y
_atom_site_fract_z
Ca1 Ca 0.250 0.750 0.500
Ca2 Ca 0.750 0.250 0.500
Y1 Y 0.000 0.000 0.000
Pt1 Pt 0.400 0.400 0.000
Pt2 Pt 0.600 0.600 0.000
```

Values from the calculation:
- Symmetry: I4/mmm, No. 139
- Crystal system: tetragonal
- Excess energy over the best structure of this formula in the dataset: 220 meV/atom
- DFT total energy: -5.18 eV/atom
- DFT formation energy: -666 meV/atom

12.
Below is a geometry-optimized Ca2YPt structure, with properties calculated at the PBE level.

```
data_Ca2YPt
_chemical_formula_sum 'Ca2 Y1 Pt1'
_cell_length_a 3.555
_cell_length_b 3.555
_cell_length_c 9.096
_cell_angle_alpha 90.00
_cell_angle_beta 90.00
_cell_angle_gamma 90.00
_space_group_name_H-M_alt 'P 1'
_space_group_IT_number 1
loop_
_space_group_symop_operation_xyz
'x,y,z'
loop_
_atom_site_label
_atom_site_type_symbol
_atom_site_fract_x
_atom_site_fract_y
_atom_site_fract_z
Ca1 Ca 0.000 0.000 0.184
Ca2 Ca 0.000 0.000 0.816
Y1 Y 0.500 0.500 0.500
Pt1 Pt 0.500 0.500 0.000
```

Values from the calculation:
- Symmetry: P4/mmm, No. 123
- Crystal system: tetragonal
- Excess energy over the best structure of this formula in the dataset: 186 meV/atom
- DFT total energy: -4.53 eV/atom
- DFT formation energy: -408 meV/atom

13.
Below is a geometry-optimized CaY2Pt structure, with properties calculated at the PBE level.

```
data_CaY2Pt
_chemical_formula_sum 'Ca2 Y4 Pt2'
_cell_length_a 6.568
_cell_length_b 6.568
_cell_length_c 9.126
_cell_angle_alpha 90.00
_cell_angle_beta 90.00
_cell_angle_gamma 144.52
_space_group_name_H-M_alt 'P 1'
_space_group_IT_number 1
loop_
_space_group_symop_operation_xyz
'x,y,z'
loop_
_atom_site_label
_atom_site_type_symbol
_atom_site_fract_x
_atom_site_fract_y
_atom_site_fract_z
Ca1 Ca 0.066 0.934 0.750
Ca2 Ca 0.934 0.066 0.250
Y1 Y 0.355 0.645 0.560
Y2 Y 0.355 0.645 0.940
Y3 Y 0.645 0.355 0.060
Y4 Y 0.645 0.355 0.440
Pt1 Pt 0.239 0.761 0.250
Pt2 Pt 0.761 0.239 0.750
```

Values from the calculation:
- Symmetry: Cmcm, No. 63
- Crystal system: orthorhombic
- Excess energy over the best structure of this formula in the dataset: 0 meV/atom
- DFT total energy: -5.87 eV/atom
- DFT formation energy: -628 meV/atom

14.
Below is a geometry-optimized Ca5YPt6 structure, with properties calculated at the PBE level.

```
data_Ca5YPt6
_chemical_formula_sum 'Ca5 Y1 Pt6'
_cell_length_a 4.924
_cell_length_b 7.065
_cell_length_c 7.761
_cell_angle_alpha 90.00
_cell_angle_beta 108.07
_cell_angle_gamma 90.00
_space_group_name_H-M_alt 'P 1'
_space_group_IT_number 1
loop_
_space_group_symop_operation_xyz
'x,y,z'
loop_
_atom_site_label
_atom_site_type_symbol
_atom_site_fract_x
_atom_site_fract_y
_atom_site_fract_z
Ca1 Ca 0.000 0.000 0.000
Ca2 Ca 0.330 0.500 0.659
Ca3 Ca 0.334 0.000 0.667
Ca4 Ca 0.666 0.000 0.333
Ca5 Ca 0.670 0.500 0.341
Y1 Y 0.000 0.500 0.000
Pt1 Pt 0.161 0.253 0.323
Pt2 Pt 0.161 0.747 0.323
Pt3 Pt 0.500 0.264 0.000
Pt4 Pt 0.500 0.736 0.000
Pt5 Pt 0.839 0.253 0.677
Pt6 Pt 0.839 0.747 0.677
```

Values from the calculation:
- Symmetry: P2/m, No. 10
- Crystal system: monoclinic
- DFT total energy: -5.35 eV/atom
- DFT formation energy: -954 meV/atom